(1)
This record from OQMD via LeMat-Bulk describes a relaxed YScCd2In2 crystal. The functional is PBE-GGA.

Geometry as POSCAR:
```
YScCd2In2
1.0
9.605 0.000 0.000
0.000 4.800 0.000
-4.790 0.000 13.583
Cd In Sc Y
8 8 4 4
Direct
0.000 0.000 0.000
0.379 0.500 0.257
0.878 0.500 0.257
0.255 0.000 0.497
0.743 0.000 0.497
0.616 0.500 0.746
0.134 0.500 0.752
0.498 0.000 0.994
0.563 0.500 0.125
0.065 0.500 0.129
0.438 0.000 0.376
0.939 0.000 0.378
0.313 0.500 0.621
0.808 0.500 0.623
0.683 0.000 0.871
0.190 0.000 0.875
0.688 0.500 0.376
0.187 0.500 0.376
0.563 0.000 0.625
0.439 0.500 0.875
0.811 0.000 0.126
0.315 0.000 0.126
0.061 0.000 0.623
0.935 0.500 0.872
```

As for the total energy: -3.5744 eV/atom.

(2)
This record from OQMD via LeMat-Bulk describes a relaxed LaNdIN crystal. The functional is PBE-GGA.

Geometry as POSCAR:
```
LaNdIN
1.0
-1.908 2.972 1.466
2.022 -2.295 2.296
12.402 8.939 -1.984
I La N Nd
2 2 2 2
Direct
0.667 0.333 0.254
0.333 0.667 0.754
0.333 0.667 0.086
0.667 0.333 0.586
0.000 0.000 0.497
0.000 0.000 0.997
0.333 0.667 0.414
0.667 0.333 0.914
```

As for the total energy: -6.1492 eV/atom.

(3)
This record from OQMD via LeMat-Bulk describes a relaxed MgNbSiTc crystal. The functional is PBE-GGA.

Geometry as POSCAR:
```
MgNbSiTc
1.0
1.955 -3.842 -0.963
-2.161 -3.049 -2.353
1.235 -0.871 -4.150
Mg Nb Si Tc
1 1 1 1
Direct
0.750 0.750 0.750
0.500 0.500 0.500
0.000 0.000 0.000
0.250 0.250 0.250
```

The energy above the most stable polymorph in this dataset comes out at 0.0000 eV/atom.

(4)
This record from OQMD via LeMat-Bulk describes a relaxed PrSn2 crystal. The functional is PBE-GGA.

Geometry as POSCAR:
```
PrSn2
1.0
2.143 1.741 5.579
-3.946 0.739 4.757
0.028 -4.051 4.726
Pr Sn
2 4
Direct
0.000 0.000 0.000
0.250 0.250 0.250
0.625 0.625 0.125
0.625 0.125 0.625
0.125 0.625 0.625
0.625 0.625 0.625
```

As for the total energy: -4.6365 eV/atom.